This record from the Alexandria database describes a geometry-optimized LaBe2Ni structure. The functional is PBE.

```
data_LaBe2Ni
_symmetry_space_group_name_H-M 'P 1'
_symmetry_Int_Tables_number 1
_cell_length_a 3.850
_cell_length_b 3.850
_cell_length_c 4.683
_cell_angle_alpha 90.00
_cell_angle_beta 90.00
_cell_angle_gamma 98.79
loop_
_symmetry_equiv_pos_as_xyz
'x,y,z'
loop_
_atom_site_label
_atom_site_type_symbol
_atom_site_fract_x
_atom_site_fract_y
_atom_site_fract_z
La1 La 0.000 0.000 0.000
Be1 Be 0.000 0.500 0.500
Be2 Be 0.500 0.000 0.500
Ni1 Ni 0.500 0.500 0.000
```

Results
Final energy: -4.0649 eV per atom
Total magnetization: 0.00 μB per formula unit
Calculated formation energy: 475.4 meV/atom